Entry from the Alexandria database: a relaxed Li6MnFe5B6O18 crystal (PBE with a Hubbard U).

Output
final energy = -6.93 eV per atom
space-group type = Pm (6)
relative energy among the computed polymorphs = 51 meV per atom
size of the total moment = 0.64 μB per atom
calculated density = 3303 kg/m³
D(E_F) = 0.0 states/eV per cell

a = 12.6056 Å, b = 8.1920 Å, c = 8.1840 Å
α = 60.11°, β = 90.00°, γ = 90.00°
With the nearest neighbours (Å) after each atom.
Element x y z (fractional)
Mn (0.1248, 0.6169, 0.0130)  5 O 2.11-2.14
O (0.7488, 0.2542, 0.5276)  1 B 1.39
O (0.3762, 0.8907, 0.1961)  1 B 1.39
O (0.5000, 0.5518, 0.5820)  1 B 1.39
O (0.2520, 0.8632, 0.5592)  1 B 1.39
O (0.2487, 0.5612, 0.5770)  1 B 1.39
O (0.0000, 0.5627, 0.5769)  1 B 1.38
O (0.1254, 0.8941, 0.1951)  1 B 1.39
O (0.3748, 0.9110, 0.8925)  1 B 1.40
O (0.0000, 0.5843, 0.8590)  1 B 1.39
B (0.6251, 0.9999, 0.0005)  3 O 1.39-1.40
O (0.5000, 0.8536, 0.5645)  1 B 1.38
Li (0.7503, 0.9826, 0.7219)  4 O 1.97-2.01
B (0.7499, 0.6676, 0.6658)  3 O 1.39
Li (0.5000, 0.7190, 0.2989)  4 O 1.99-2.02
O (0.2482, 0.2182, 0.2526)  1 B 1.39
Fe (0.6253, 0.0087, 0.3687)  5 O 2.07-2.18
B (0.2491, 0.3340, 0.3323)  3 O 1.39
B (0.5000, 0.3277, 0.3355)  3 O 1.39-1.40
O (0.2512, 0.2542, 0.5276)  1 B 1.39
O (0.0000, 0.5308, 0.2162)  1 B 1.40
O (0.2496, 0.5801, 0.8610)  1 B 1.39
Li (0.2506, 0.2977, 0.9813)  4 O 1.98-2.01
Fe (0.6258, 0.3660, 0.6183)  5 O 2.09-2.16
Fe (0.3747, 0.0087, 0.3687)  5 O 2.07-2.18
Fe (0.3756, 0.6281, 0.0089)  5 O 2.02-2.19
Fe (0.6244, 0.6281, 0.0089)  5 O 2.02-2.19
O (0.0000, 0.8664, 0.5558)  1 B 1.39
O (0.1240, 0.1981, 0.9124)  1 B 1.40
B (0.0000, 0.6707, 0.6635)  3 O 1.38-1.39
O (0.5000, 0.2108, 0.2560)  1 B 1.40
Li (0.0000, 0.2991, 0.9825)  4 O 1.96-2.03
B (0.3749, 0.9999, 0.0005)  3 O 1.39-1.40
Fe (0.8753, 0.3637, 0.6300)  5 O 2.01-2.19
O (0.7480, 0.8632, 0.5592)  1 B 1.39
O (0.5000, 0.5221, 0.2210)  1 B 1.39
O (0.6262, 0.1950, 0.9121)  1 B 1.39
O (0.6238, 0.8907, 0.1961)  1 B 1.39
O (0.0000, 0.2212, 0.2508)  1 B 1.39
Li (0.7512, 0.7230, 0.2957)  4 O 1.98-2.00
Li (0.2488, 0.7230, 0.2957)  4 O 1.98-2.00
O (0.5000, 0.5708, 0.8665)  1 B 1.39
O (0.7504, 0.5801, 0.8610)  1 B 1.39
O (0.8746, 0.8941, 0.1951)  1 B 1.39
B (0.0000, 0.3352, 0.3326)  3 O 1.39-1.40
Fe (0.8750, 0.0161, 0.3659)  5 O 2.08-2.16
Li (0.0000, 0.9829, 0.7222)  4 O 1.98-2.02
B (0.2501, 0.6676, 0.6658)  3 O 1.39
O (0.2477, 0.5289, 0.2171)  1 B 1.39
O (0.8760, 0.1981, 0.9124)  1 B 1.40
Fe (0.1247, 0.3637, 0.6300)  5 O 2.01-2.19
Li (0.2497, 0.9826, 0.7219)  4 O 1.97-2.01
O (0.0000, 0.2556, 0.5271)  1 B 1.39
O (0.8748, 0.9160, 0.8897)  1 B 1.39
Fe (0.1250, 0.0161, 0.3659)  5 O 2.08-2.16
B (0.8752, 0.0013, 0.9997)  3 O 1.39-1.40
B (0.5000, 0.6594, 0.6709)  3 O 1.38-1.39
Li (0.0000, 0.7243, 0.2947)  4 O 1.99-2.01
O (0.3738, 0.1950, 0.9121)  1 B 1.39
Mn (0.8752, 0.6169, 0.0130)  5 O 2.11-2.14
O (0.6252, 0.9110, 0.8925)  1 B 1.40
O (0.7518, 0.2182, 0.2526)  1 B 1.39
O (0.7513, 0.5612, 0.5770)  1 B 1.39
Li (0.5000, 0.2921, 0.9826)  4 O 1.99
Li (0.7494, 0.2977, 0.9813)  4 O 1.98-2.01
O (0.5000, 0.2467, 0.5310)  1 B 1.39
Fe (0.3742, 0.3660, 0.6183)  5 O 2.09-2.16
O (0.1252, 0.9160, 0.8897)  1 B 1.39
O (0.7523, 0.5289, 0.2171)  1 B 1.39
Li (0.5000, 0.9797, 0.7213)  4 O 1.95-2.01
B (0.1248, 0.0013, 0.9997)  3 O 1.39-1.40
B (0.7509, 0.3340, 0.3323)  3 O 1.39